# LaPr2ThN4, relaxed, DFT PBE
data_LaPr2ThN4
_chemical_formula_sum 'La1 Pr2 Th1 N4'
_cell_length_a 6.393
_cell_length_b 3.700
_cell_length_c 6.406
_cell_angle_alpha 90.00
_cell_angle_beta 109.38
_cell_angle_gamma 90.00
_symmetry_space_group_name_H-M 'P 1 2/m 1'
_symmetry_Int_Tables_number 10
loop_
_symmetry_equiv_pos_as_xyz
'x,y,z'
'-x,-y,-z'
'-x,y,-z'
'x,-y,z'
loop_
_atom_site_label
_atom_site_fract_x
_atom_site_fract_y
_atom_site_fract_z
La1 0.000 0.000 0.000
Pr1 0.500 0.000 0.500
Pr2 0.500 0.500 0.000
Th1 0.000 0.500 0.500
N1 0.238 0.000 0.737
N2 0.243 0.500 0.259
# Raw formation energy (meV/atom): -1420